Density functional theory data (PBE) for an optimized crystal structure of La2YZr.

Lattice parameters (Å, degrees): 11.793 11.793 11.793 17.17 17.17 17.17
Fractional coordinates of all 4 atoms:
La1 0.000 0.000 0.000
La2 0.248 0.248 0.248
Y1 0.488 0.488 0.488
Zr1 0.747 0.747 0.747

Results
* calculated density: 6.1 g/cm3
* offset from the most stable computed form: 2.0 kJ/mol of atoms
* formation energy: 0.120 eV/atom

=====

Density functional theory data (PBE) for an optimized crystal structure of Li2Y2Sn.

Lattice parameters (Å, degrees): 7.037 7.037 4.732 90.00 90.00 90.00
Fractional coordinates of all 10 atoms:
Li1 0.128 0.372 0.000
Li2 0.372 0.872 0.000
Li3 0.628 0.128 0.000
Li4 0.872 0.628 0.000
Y1 0.184 0.684 0.500
Y2 0.316 0.184 0.500
Y3 0.684 0.816 0.500
Y4 0.816 0.316 0.500
Sn1 0.000 0.000 0.000
Sn2 0.500 0.500 0.000

Results
* calculated density: 4.4 g/cm3
* formation energy: -0.279 eV/atom

=====

Density functional theory data (PBE) for an optimized crystal structure of RbNaCdIn.

Lattice parameters (Å, degrees): 5.175 5.175 7.343 110.59 110.59 59.88
Fractional coordinates of all 4 atoms:
Rb1 0.000 0.000 0.000
Na1 0.192 0.192 0.578
Cd1 0.466 0.466 0.397
In1 0.794 0.794 0.385

Results
* calculated density: 3.6 g/cm3
* offset from the most stable computed form: 0.0 kJ/mol of atoms
* formation energy: -0.078 eV/atom

=====

Density functional theory data (PBE) for an optimized crystal structure of Tb2DyHo3Te6.

Lattice parameters (Å, degrees): 9.723 9.723 8.740 103.08 103.08 25.74
Fractional coordinates of all 12 atoms:
Tb1 0.167 0.167 0.333
Tb2 0.833 0.833 0.667
Dy1 0.500 0.500 0.000
Ho1 0.167 0.167 0.833
Ho2 0.500 0.500 0.500
Ho3 0.833 0.833 0.167
Te1 0.001 0.001 0.749
Te2 0.333 0.333 0.919
Te3 0.334 0.334 0.415
Te4 0.666 0.666 0.585
Te5 0.667 0.667 0.081
Te6 0.999 0.999 0.251

Results
* calculated density: 8.3 g/cm3
* DFT total energy: -0.189 Ha/atom

=====

Density functional theory data (PBE) for an optimized crystal structure of WAu2Br2.

Lattice parameters (Å, degrees): 6.703 6.703 6.292 90.00 90.00 90.00
Fractional coordinates of all 10 atoms:
W1 0.000 0.000 0.000
W2 0.500 0.500 0.000
Au1 0.140 0.360 0.500
Au2 0.360 0.860 0.500
Au3 0.640 0.140 0.500
Au4 0.860 0.640 0.500
Br1 0.166 0.666 0.000
Br2 0.334 0.166 0.000
Br3 0.666 0.834 0.000
Br4 0.834 0.334 0.000

Results
* calculated density: 8.7 g/cm3
* offset from the most stable computed form: 8.8 kJ/mol of atoms

=====

Density functional theory data (PBE) for an optimized crystal structure of LaVP2Os.

Lattice parameters (Å, degrees): 6.401 6.401 6.401 144.01 144.01 51.81
Fractional coordinates of all 5 atoms:
La1 0.000 0.000 0.000
V1 0.250 0.750 0.500
P1 0.363 0.363 0.000
P2 0.637 0.637 0.000
Os1 0.750 0.250 0.500

Results
* calculated density: 8.2 g/cm3
* formation energy: -0.856 eV/atom